Entry 1:
VASP calculation (PBE-GGA) on crystalline LuPaSnHg at its relaxed geometry.

Unit cell a=5.2557 b=5.2557 c=5.2557 alpha=60.00 beta=60.00 gamma=60.00
Atoms (fractional coordinates):
Lu: 0.0000 0.0000 0.0000
Pa: 0.5000 0.5000 0.5000
Sn: 0.7500 0.7500 0.7500
Hg: 0.2500 0.2500 0.2500

Raw total energy ... -4.74 eV/atom
SG ... F-43m
Magnetization ... 1.27 μB/f.u.

***

Entry 2:
VASP calculation (PBE-GGA) on crystalline ReAgP2O8 at its relaxed geometry.

Unit cell a=8.3868 b=8.3868 c=8.3868 alpha=33.55 beta=33.55 gamma=33.55
Atoms (fractional coordinates):
Re: 0.0000 0.0000 0.0000
Ag: 0.5000 0.5000 0.5000
P: 0.2589 0.2589 0.2589
P: 0.7411 0.7411 0.7411
O: 0.0037 0.6013 0.2468
O: 0.1957 0.1957 0.1957
O: 0.2468 0.0037 0.6013
O: 0.3987 0.7532 0.9963
O: 0.6013 0.2468 0.0037
O: 0.7532 0.9963 0.3987
O: 0.8043 0.8043 0.8043
O: 0.9963 0.3987 0.7532

Raw total energy ... -7.09 eV/atom
SG ... R-3
Magnetization ... 2.00 μB/f.u.
Energy relative to the elements, uncorrected ... -1609 meV/atom

***

Entry 3:
VASP calculation (PBE-GGA) on crystalline Ce2Al3Sn at its relaxed geometry.

Unit cell a=3.6035 b=4.6926 c=8.1687 alpha=90.00 beta=90.00 gamma=90.00
Atoms (fractional coordinates):
Ce: 0.0000 0.0000 0.0000
Ce: 0.0000 0.5000 0.4870
Al: 0.5000 0.0000 0.3240
Al: 0.5000 0.0000 0.6477
Al: 0.5000 0.5000 0.1691
Sn: 0.5000 0.5000 0.8278

Raw total energy ... -4.94 eV/atom
SG ... Pmm2
Magnetization ... 1.27 μB/f.u.

***

Entry 4:
VASP calculation (PBE-GGA) on crystalline SrLaNdIn at its relaxed geometry.

Unit cell a=5.7718 b=5.7718 c=5.7718 alpha=60.00 beta=60.00 gamma=60.00
Atoms (fractional coordinates):
Sr: 0.0000 0.0000 0.0000
La: 0.2500 0.2500 0.2500
Nd: 0.7500 0.7500 0.7500
In: 0.5000 0.5000 0.5000

Raw total energy ... -3.63 eV/atom
SG ... F-43m
Magnetization ... 0.00 μB/f.u.

***

Entry 5:
VASP calculation (PBE-GGA) on crystalline Pu2Al4CdAu3 at its relaxed geometry.

Unit cell a=4.3301 b=4.3301 c=11.0312 alpha=90.00 beta=90.00 gamma=90.00
Atoms (fractional coordinates):
Pu: 0.0000 0.5000 0.2461
Pu: 0.5000 0.0000 0.7539
Al: 0.0000 0.0000 0.0000
Al: 0.0000 0.5000 0.6441
Al: 0.5000 0.0000 0.3559
Al: 0.5000 0.5000 0.0000
Cd: 0.0000 0.0000 0.5000
Au: 0.0000 0.5000 0.8704
Au: 0.5000 0.0000 0.1296
Au: 0.5000 0.5000 0.5000

Raw total energy ... -5.85 eV/atom
SG ... P-4m2
Magnetization ... 11.23 μB/f.u.

***

Entry 6:
VASP calculation (PBE-GGA) on crystalline RbYCr2 at its relaxed geometry.

Unit cell a=5.5058 b=5.5058 c=5.5058 alpha=60.00 beta=60.00 gamma=60.00
Atoms (fractional coordinates):
Rb: 0.0000 0.0000 0.0000
Y: 0.5000 0.5000 0.5000
Cr: 0.2500 0.2500 0.2500
Cr: 0.7500 0.7500 0.7500

Raw total energy ... -5.42 eV/atom
SG ... Fm-3m
Magnetization ... 8.81 μB/f.u.
Excess energy over the best structure of this formula in the dataset ... 0 meV per atom

***

Entry 7:
VASP calculation (PBE-GGA) on crystalline CaPmPd at its relaxed geometry.

Unit cell a=8.0138 b=3.9238 c=10.8111 alpha=90.00 beta=90.00 gamma=90.00
Atoms (fractional coordinates):
Ca: 0.1753 0.2500 0.0421
Ca: 0.3247 0.7500 0.5421
Ca: 0.6753 0.2500 0.4579
Ca: 0.8247 0.7500 0.9579
Pm: 0.0111 0.7500 0.3089
Pm: 0.4889 0.2500 0.8089
Pm: 0.5111 0.7500 0.1911
Pm: 0.9889 0.2500 0.6911
Pd: 0.2029 0.7500 0.8232
Pd: 0.2971 0.2500 0.3232
Pd: 0.7029 0.7500 0.6768
Pd: 0.7971 0.2500 0.1768

Raw total energy ... -4.51 eV/atom
SG ... Pnma
Magnetization ... 0.00 μB/f.u.
Excess energy over the best structure of this formula in the dataset ... 0 meV per atom

***

Entry 8:
VASP calculation (PBE-GGA) on crystalline Sr2ScCu2 at its relaxed geometry.

Unit cell a=7.5694 b=7.5694 c=4.7279 alpha=90.00 beta=90.00 gamma=90.00
Atoms (fractional coordinates):
Sr: 0.1767 0.3233 0.0000
Sr: 0.3233 0.8233 0.0000
Sr: 0.6767 0.1767 0.0000
Sr: 0.8233 0.6767 0.0000
Sc: 0.0000 0.0000 0.5000
Sc: 0.5000 0.5000 0.5000
Cu: 0.1196 0.6196 0.5000
Cu: 0.3804 0.1196 0.5000
Cu: 0.6196 0.8804 0.5000
Cu: 0.8804 0.3804 0.5000

Raw total energy ... -3.52 eV/atom
SG ... P4/mbm
Magnetization ... 0.00 μB/f.u.

***

Entry 9:
VASP calculation (PBE-GGA) on crystalline Tb4AgPt2 at its relaxed geometry.

Unit cell a=8.5853 b=8.5853 c=8.5853 alpha=33.68 beta=33.68 gamma=33.68
Atoms (fractional coordinates):
Tb: 0.1216 0.1216 0.1216
Tb: 0.3723 0.3723 0.3723
Tb: 0.6277 0.6277 0.6277
Tb: 0.8784 0.8784 0.8784
Ag: 0.5000 0.5000 0.5000
Pt: 0.2517 0.2517 0.2517
Pt: 0.7483 0.7483 0.7483

Raw total energy ... -5.58 eV/atom
SG ... R-3m
Magnetization ... 0.00 μB/f.u.
Excess energy over the best structure of this formula in the dataset ... 0 meV per atom

***

Entry 10:
VASP calculation (PBE-GGA) on crystalline Nb2VBN at its relaxed geometry.

Unit cell a=4.2322 b=4.2322 c=3.6831 alpha=90.00 beta=90.00 gamma=90.00
Atoms (fractional coordinates):
Nb: 0.0000 0.5000 0.0000
Nb: 0.5000 0.0000 0.0000
V: 0.0000 0.0000 0.5000
B: 0.5000 0.5000 0.5000
N: 0.0000 0.0000 0.0000

Raw total energy ... -8.97 eV/atom
SG ... P4/mmm
Magnetization ... 0.00 μB/f.u.
Energy relative to the elements, uncorrected ... -113 meV/atom

***

Entry 11:
VASP calculation (PBE-GGA) on crystalline AlZn2Ni9 at its relaxed geometry.

Unit cell a=3.5728 b=3.5728 c=10.7288 alpha=90.00 beta=90.00 gamma=90.00
Atoms (fractional coordinates):
Al: 0.0000 0.0000 0.0000
Zn: 0.0000 0.0000 0.3332
Zn: 0.0000 0.0000 0.6668
Ni: 0.0000 0.5000 0.1653
Ni: 0.0000 0.5000 0.5000
Ni: 0.0000 0.5000 0.8347
Ni: 0.5000 0.0000 0.1653
Ni: 0.5000 0.0000 0.5000
Ni: 0.5000 0.0000 0.8347
Ni: 0.5000 0.5000 0.0000
Ni: 0.5000 0.5000 0.3327
Ni: 0.5000 0.5000 0.6673

Raw total energy ... -5.08 eV/atom
SG ... P4/mmm
Magnetization ... 3.29 μB/f.u.

***

Entry 12:
VASP calculation (PBE-GGA) on crystalline CaBe2Cd at its relaxed geometry.

Unit cell a=9.1302 b=9.1302 c=9.1302 alpha=151.89 beta=151.89 gamma=40.17
Atoms (fractional coordinates):
Ca: 0.3750 0.6250 0.7500
Ca: 0.6250 0.3750 0.2500
Be: 0.0000 0.0000 0.0000
Be: 0.0000 0.0000 0.5000
Be: 0.0000 0.5000 0.0000
Be: 0.5000 0.0000 0.5000
Cd: 0.1250 0.8750 0.2500
Cd: 0.8750 0.1250 0.7500

Raw total energy ... -2.27 eV/atom
SG ... I4_1/amd
Magnetization ... 0.00 μB/f.u.